# PBE-GGA Ac3TlAg4, relaxed
# DFT formation energy, eV/atom: -0.142
data_Ac3TlAg4
_chemical_formula_sum 'Ac6 Tl2 Ag8'
_symmetry_space_group_name_H-M 'I m m m'
_symmetry_Int_Tables_number 71
_symmetry_space_group_name_Hall '-I 2 2'
_cell_length_a 4.2855
_cell_length_b 7.5211
_cell_length_c 15.8635
_cell_angle_alpha 90.00
_cell_angle_beta 90.00
_cell_angle_gamma 90.00
loop_
_atom_site_label
_atom_site_type_symbol
_atom_site_fract_x
_atom_site_fract_y
_atom_site_fract_z
_atom_site_occupancy
Ac1 Ac 0.0000 0.0000 0.0000 1
Ac2 Ac 0.0000 0.5000 0.1830 1
Tl1 Tl 0.0000 0.0000 0.5000 1
Ag1 Ag 0.0000 0.3109 0.3684 1